Entry from the Alexandria database: Sc2Tl2V after structural relaxation (PBE-GGA).

Results
**SG**: No. 127
**Calculated total energy**: -52.3 eV for the cell shown

Cell lengths 7.5991, 7.5991, 3.9532 Å; angles 90.00, 90.00, 90.00 degrees
Atoms (fractional coordinates):
1 Sc 0.8323 0.3323 0.5000
2 Sc 0.1677 0.6677 0.5000
3 Sc 0.6677 0.8323 0.5000
4 Sc 0.3323 0.1677 0.5000
5 Tl 0.8612 0.6388 0.0000
6 Tl 0.1388 0.3612 0.0000
7 Tl 0.3612 0.8612 0.0000
8 Tl 0.6388 0.1388 0.0000
9 V 0.0000 0.0000 0.0000
10 V 0.5000 0.5000 0.0000



Entry from the Alexandria database: Sc2TlV after structural relaxation (PBE-GGA).

Results
**E above lowest polymorph**: 0 meV/atom
**SG**: No. 123

Cell lengths 3.5062, 3.5062, 6.8963 Å; angles 90.00, 90.00, 90.00 degrees
Atoms (fractional coordinates):
1 Sc 0.0000 0.0000 0.7748
2 Sc 0.0000 0.0000 0.2252
3 Tl 0.5000 0.5000 0.5000
4 V 0.5000 0.5000 0.0000



Entry from the Alexandria database: ScTl2W after structural relaxation (PBE-GGA).

Results
**E above lowest polymorph**: 92 meV/atom
**SG**: No. 166

Cell lengths 10.1084, 10.1084, 10.1084 Å; angles 17.93, 17.93, 17.93 degrees
Atoms (fractional coordinates):
1 W 0.2500 0.2500 0.2500
2 Tl 0.5031 0.5031 0.5031
3 Tl 0.9969 0.9969 0.9969
4 Sc 0.7500 0.7500 0.7500



Entry from the Alexandria database: ScTlW2 after structural relaxation (PBE-GGA).

Results
**SG**: No. 6
**Calculated total energy**: -33.1 eV for the cell shown

Cell lengths 4.3364, 2.9676, 6.2775 Å; angles 70.96, 90.00, 90.00 degrees
Atoms (fractional coordinates):
1 W 0.0000 0.0664 0.0332
2 W 0.5000 0.2088 0.2335
3 Tl 0.5000 0.7660 0.7501
4 Sc 0.0000 0.4589 0.4832